{"formula": "Co6OsO8", "functional": "GGA+U", "state": "relaxed", "lattice": [[0.0000, 4.2652, 4.2652], [4.2652, 0.0000, 4.2652], [4.2652, 4.2652, 0.0000]], "species": ["Co", "Co", "Co", "Co", "Co", "Co", "Os", "O", "O", "O", "O", "O", "O", "O", "O"], "fractional_positions": [[0.0000, 0.0000, 0.5000], [0.0000, 0.5000, 0.0000], [0.0000, 0.5000, 0.5000], [0.5000, 0.0000, 0.0000], [0.5000, 0.0000, 0.5000], [0.5000, 0.5000, 0.0000], [0.0000, 0.0000, 0.0000], [0.2369, 0.2369, 0.7631], [0.2369, 0.7631, 0.2369], [0.2369, 0.7631, 0.7631], [0.2500, 0.2500, 0.2500], [0.7500, 0.7500, 0.7500], [0.7631, 0.2369, 0.2369], [0.7631, 0.2369, 0.7631], [0.7631, 0.7631, 0.2369]], "volume_a3_per_fu": 155.19, "dft_energy_ev_per_cell": -94.50, "m_tot_mub_per_cell": 20.0, "space_group": "Fm-3m"}